# PBE+U K2CaMoF6, relaxed
data_K2CaMoF6
_chemical_formula_sum 'K4 Ca2 Mo2 F12'
_cell_length_a 6.1769
_cell_length_b 6.4461
_cell_length_c 8.7853
_cell_angle_alpha 90.00
_cell_angle_beta 90.00
_cell_angle_gamma 90.00
_symmetry_space_group_name_H-M 'I m m m'
_symmetry_Int_Tables_number 71
_symmetry_space_group_name_Hall '-I 2 2'
loop_
_atom_site_label
_atom_site_type_symbol
_atom_site_fract_x
_atom_site_fract_y
_atom_site_fract_z
K1 K 0.0000 0.0000 0.2391
Ca1 Ca 0.0000 0.5000 0.5000
Mo1 Mo 0.0000 0.5000 0.0000
F1 F 0.0000 0.5000 0.2457
F2 F 0.2387 0.2379 0.0000
# Total DFT energy (no corrections) ... -5.056 eV per atom
# M_tot ... 4.00 μB per cell